# 1
Entry from Alexandria: crystalline LaGaHPd2 at its relaxed geometry (PBE).

Cell: 3.993 5.923 7.520 Å, 90.00 90.00 109.70°
Atoms (fractional coordinates):
Ga 0.278 0.555 0.250
Ga 0.722 0.445 0.750
Pd 0.158 0.316 0.945
Pd 0.842 0.684 0.445
Pd 0.842 0.684 0.055
Pd 0.158 0.316 0.555
La 0.561 0.122 0.250
La 0.439 0.878 0.750
H 0.000 0.000 0.500
H 0.000 0.000 0.000

Properties
The space-group type is No. 63. Its total moment is 0.000 μB/cell. As for the total energy: -51.12 eV for the cell shown. As for the calculated volume: 167 Å³ per cell.

---

# 2
Entry from Alexandria: crystalline Ag3SeF at its relaxed geometry (PBE).

Cell: 5.531 6.968 11.444 Å, 113.56 90.00 90.00°
Atoms (fractional coordinates):
Ag 0.443 0.062 0.248
Ag 0.943 0.938 0.252
Ag 0.708 0.864 0.007
Ag 0.292 0.136 0.993
Ag 0.977 0.604 0.638
Ag 0.023 0.396 0.362
Ag 0.792 0.864 0.507
Ag 0.208 0.136 0.493
Ag 0.477 0.396 0.862
Ag 0.523 0.604 0.138
Ag 0.557 0.938 0.752
Ag 0.057 0.062 0.748
F 0.192 0.376 0.712
F 0.308 0.376 0.212
F 0.692 0.624 0.788
F 0.808 0.624 0.288
Se 0.206 0.788 0.044
Se 0.706 0.212 0.456
Se 0.794 0.212 0.956
Se 0.294 0.788 0.544

Properties
The space-group type is No. 14. Its total moment is 0.000 μB/cell. As for the total energy: -65.12 eV for the cell shown. As for the calculated volume: 404 Å³ per cell. As for the uncorrected formation energy: -229 kJ/mol of formula units.

---

# 3
Entry from Alexandria: crystalline Sc2NbAl2Co5 at its relaxed geometry (PBE).

Cell: 3.305 9.249 9.249 Å, 90.00 90.00 90.00°
Atoms (fractional coordinates):
Sc 0.000 0.827 0.673
Sc 0.000 0.327 0.827
Sc 0.000 0.673 0.173
Sc 0.000 0.173 0.327
Co 0.500 0.202 0.065
Co 0.500 0.565 0.702
Co 0.500 0.065 0.798
Co 0.500 0.702 0.435
Co 0.500 0.298 0.565
Co 0.500 0.798 0.935
Co 0.500 0.000 0.500
Co 0.500 0.500 0.000
Co 0.500 0.935 0.202
Co 0.500 0.435 0.298
Al 0.000 0.876 0.376
Al 0.000 0.624 0.876
Al 0.000 0.376 0.124
Al 0.000 0.124 0.624
Nb 0.000 0.500 0.500
Nb 0.000 0.000 0.000

Properties
The space-group type is No. 127. Its total moment is 0.000 μB/cell. For the formation energy, the calculation gives -0.31 eV per atom. As for the total energy: -137.79 eV for the cell shown. As for the calculated volume: 283 Å³ per cell.

---

# 4
Entry from Alexandria: crystalline VBr2Cl at its relaxed geometry (PBE).

Cell: 10.113 10.113 10.113 Å, 21.03 21.03 21.03°
Last column: magnetic moment on the atom in μB.
Atoms (fractional coordinates):
Br 0.116 0.116 0.116  -0.04
Br 0.884 0.884 0.884  -0.04
V 0.500 0.500 0.500  2.43
Cl 0.000 0.000 0.000  0.52

Properties
The space-group type is No. 166. Its total moment is 3.363 μB/cell. As for the total energy: -15.99 eV for the cell shown. As for the calculated volume: 117 Å³ per cell. As for the uncorrected formation energy: -162 kJ/mol of formula units.